Record 1
Material: La4Si2H
Method: DFT, GGA-PBE
State: relaxed

Space group: P2_1/m

Cell: 6.6276 6.6778 8.9128 Å, 90.00 109.57 90.00°
Fractional positions:
La 0.5124 0.4869 0.2625
La 0.0852 0.7500 0.9129
La 0.9148 0.2500 0.0871
La 0.5124 0.0131 0.2625
La 0.9286 0.2500 0.6224
La 0.4876 0.9869 0.7375
La 0.4876 0.5131 0.7375
La 0.0714 0.7500 0.3776
Si 0.7165 0.7500 0.0539
Si 0.2835 0.2500 0.9461
Si 0.2404 0.2500 0.4337
Si 0.7596 0.7500 0.5663
H 0.2631 0.7500 0.1926
H 0.7369 0.2500 0.8074



Record 2
Material: La3Si2H
Method: DFT, GGA-PBE
State: relaxed

Space group: C2/c

Cell: 6.0625 8.5161 7.3651 Å, 106.80 114.30 90.00°
Fractional positions:
La 0.4797 0.2500 0.0000
La 0.5203 0.7500 0.0000
La 0.1636 0.0822 0.3285
La 0.8351 0.4178 0.6715
La 0.1649 0.5822 0.3285
La 0.8364 0.9178 0.6715
Si 0.6674 0.5831 0.3323
Si 0.6648 0.0831 0.3323
Si 0.3352 0.9169 0.6677
Si 0.3326 0.4169 0.6677
H 0.9680 0.7500 0.0000
H 0.0320 0.2500 0.0000



Record 3
Material: La4Si2H
Method: DFT, GGA-PBE
State: relaxed

Space group: I4/mmm

Cell: 4.6560 4.6560 8.9915 Å, 74.99 74.99 90.00°
Site moments in Bohr magnetons follow the coordinates.
Fractional positions:
H 0.0000 0.0000 0.0000  0.00
Si 0.6330 0.6330 0.7340  -0.01
Si 0.3670 0.3670 0.2660  -0.01
La 0.8156 0.8156 0.3689  0.07
La 0.1844 0.1844 0.6311  0.07
La 0.0000 0.5000 0.0000  0.02
La 0.5000 0.0000 0.0000  0.02



Record 4
Material: LaSi2H2
Method: DFT, GGA-PBE
State: relaxed

Space group: I4/mmm

Cell: 4.2472 4.2472 5.0706 Å, 65.24 65.24 90.00°
Fractional positions:
H 0.7500 0.2500 0.5000
H 0.2500 0.7500 0.5000
Si 0.3639 0.3639 0.2722
Si 0.6361 0.6361 0.7278
La 0.0000 0.0000 0.0000



Record 5
Material: La4SiH2
Method: DFT, GGA-PBE
State: relaxed

Space group: I4/mmm

Cell: 5.6262 5.6262 7.4481 Å, 67.81 67.81 90.00°
Fractional positions:
H 0.5774 0.5774 0.8451
H 0.4226 0.4226 0.1549
Si 0.0000 0.0000 0.0000
La 0.7623 0.7623 0.4755
La 0.2377 0.2377 0.5245
La 0.0000 0.5000 0.0000
La 0.5000 0.0000 0.0000



Record 6
Material: La5Si2H
Method: DFT, GGA-PBE
State: relaxed

Space group: Fmm2

Cell: 7.0705 7.0703 6.6073 Å, 122.24 122.24 90.21°
Fractional positions:
La 0.7483 0.2488 0.9970
La 0.2491 0.2491 0.9972
La 0.7481 0.7481 0.9971
La 0.2488 0.7483 0.9970
La 0.7538 0.7538 0.5078
Si 0.2496 0.7494 0.4992
Si 0.7494 0.2496 0.4992
H 0.0298 0.0298 0.0596



Record 7
Material: LaSi2H2
Method: DFT, GGA-PBE
State: relaxed

Space group: P4/mbm

Cell: 7.4864 7.4864 3.0528 Å, 90.00 90.00 90.00°
Fractional positions:
H 0.0892 0.5892 0.5000
H 0.5892 0.9108 0.5000
H 0.9108 0.4108 0.5000
H 0.4108 0.0892 0.5000
Si 0.3906 0.8906 0.0000
Si 0.8906 0.6094 0.0000
Si 0.6094 0.1094 0.0000
Si 0.1094 0.3906 0.0000
La 0.0000 0.0000 0.0000
La 0.5000 0.5000 0.0000



Record 8
Material: LaSmH2
Method: DFT, GGA-PBE
State: relaxed

Space group: R-3m

Cell: 3.6333 3.6333 6.3197 Å, 73.29 73.29 60.00°
Fractional positions:
H 0.2549 0.2549 0.2352
H 0.7451 0.7451 0.7648
Sm 0.0000 0.0000 0.0000
La 0.5000 0.5000 0.5000



Record 9
Material: LaSm2H8
Method: DFT, GGA-PBE
State: relaxed

Space group: Immm

Cell: 3.8073 5.4244 6.6127 Å, 114.21 106.73 90.00°
Fractional positions:
La 0.5000 0.0000 0.0000
Sm 0.1704 0.6704 0.3408
Sm 0.8296 0.3296 0.6592
H 0.6645 0.8984 0.3291
H 0.3355 0.5693 0.6709
H 0.1566 0.1566 0.3133
H 0.0000 0.2833 0.0000
H 0.8434 0.8434 0.6867
H 0.6645 0.4307 0.3291
H 0.3355 0.1016 0.6709
H 0.0000 0.7167 0.0000



Record 10
Material: La2SmH8
Method: DFT, GGA-PBE
State: relaxed

Space group: Immm

Cell: 3.9135 5.3774 6.7462 Å, 113.49 106.86 90.00°
Fractional positions:
La 0.1695 0.6695 0.3390
La 0.8305 0.3305 0.6610
Sm 0.5000 0.0000 0.0000
H 0.6554 0.9004 0.3109
H 0.3446 0.5895 0.6891
H 0.1677 0.1677 0.3354
H 0.0000 0.2538 0.0000
H 0.8323 0.8323 0.6646
H 0.6554 0.4105 0.3109
H 0.3446 0.0996 0.6891
H 0.0000 0.7462 0.0000



Record 11
Material: La4SmH10
Method: DFT, GGA-PBE
State: relaxed

Space group: I4/mmm

Cell: 3.9364 3.9364 14.2735 Å, 97.93 97.93 90.00°
Fractional positions:
La 0.4028 0.4028 0.8056
La 0.8008 0.8008 0.6017
La 0.1992 0.1992 0.3983
La 0.5972 0.5972 0.1944
Sm 0.0000 0.0000 0.0000
H 0.6482 0.1482 0.2965
H 0.0461 0.5461 0.0922
H 0.4539 0.9539 0.9078
H 0.8518 0.3518 0.7035
H 0.2500 0.7500 0.5000
H 0.5461 0.0461 0.0922
H 0.9539 0.4539 0.9078
H 0.3518 0.8518 0.7035
H 0.7500 0.2500 0.5000
H 0.1482 0.6482 0.2965



Record 12
Material: La3Sm5H12
Method: DFT, GGA-PBE
State: relaxed

Space group: Ia-3d

Cell: 11.8476 11.8476 11.8476 Å, 109.47 109.47 109.47°
Fractional positions:
La 0.7500 0.3750 0.1250
La 0.8750 0.7500 0.1250
La 0.3750 0.7500 0.6250
La 0.2500 0.1250 0.3750
La 0.8750 0.1250 0.2500
La 0.3750 0.6250 0.2500
La 0.6250 0.3750 0.7500
La 0.1250 0.8750 0.7500
La 0.7500 0.8750 0.6250
La 0.6250 0.2500 0.3750
La 0.1250 0.2500 0.8750
La 0.2500 0.6250 0.8750
Sm 0.1250 0.3750 0.2500
Sm 0.0000 0.5000 0.0000
Sm 0.0000 0.0000 0.0000
Sm 0.3750 0.2500 0.1250
Sm 0.5000 0.0000 0.5000
Sm 0.5000 0.5000 0.0000
Sm 0.1250 0.7500 0.3750
Sm 0.7500 0.1250 0.8750
Sm 0.7500 0.6250 0.3750
Sm 0.3750 0.1250 0.7500
Sm 0.6250 0.8750 0.2500
Sm 0.5000 0.5000 0.5000
Sm 0.5000 0.0000 0.0000
Sm 0.0000 0.0000 0.5000
Sm 0.2500 0.3750 0.6250
Sm 0.2500 0.8750 0.1250
Sm 0.0000 0.5000 0.5000
Sm 0.8750 0.2500 0.6250
Sm 0.6250 0.7500 0.8750
Sm 0.8750 0.6250 0.7500
H 0.7225 0.1460 0.0619
H 0.3394 0.5619 0.4159
H 0.9381 0.3540 0.2775
H 0.5619 0.2225 0.1460
H 0.5765 0.7225 0.6606
H 0.9381 0.5841 0.1606
H 0.3394 0.7775 0.4235
H 0.0841 0.9235 0.1460
H 0.5841 0.9381 0.6606
H 0.7225 0.5765 0.1606
H 0.7775 0.4381 0.3540
H 0.8394 0.9159 0.0619
H 0.1460 0.7225 0.5619
H 0.3540 0.4159 0.0765
H 0.0765 0.9159 0.3540
H 0.4235 0.1460 0.5841
H 0.0765 0.1606 0.2225
H 0.4381 0.6606 0.0841
H 0.8394 0.9235 0.2775
H 0.1460 0.4235 0.0841
H 0.3540 0.9381 0.7775
H 0.5841 0.6460 0.4235
H 0.9159 0.8394 0.5619
H 0.7775 0.3394 0.9235
H 0.4159 0.3540 0.5765
H 0.0841 0.1606 0.4381
H 0.2225 0.6606 0.0765
H 0.1606 0.0765 0.7225
H 0.6460 0.0619 0.2225
H 0.8540 0.5765 0.9159
H 0.5619 0.3394 0.9159
H 0.5765 0.8540 0.4159
H 0.9235 0.8394 0.7775
H 0.9235 0.0841 0.6460
H 0.8540 0.2775 0.4381
H 0.1606 0.0841 0.9381
H 0.6460 0.5841 0.9235
H 0.4159 0.0619 0.3394
H 0.2775 0.4235 0.8394
H 0.2225 0.5619 0.6460
H 0.9159 0.0765 0.8540
H 0.6606 0.2225 0.5765
H 0.4381 0.7775 0.8540
H 0.0619 0.4159 0.8394
H 0.4235 0.2775 0.3394
H 0.0619 0.6460 0.7225
H 0.6606 0.4381 0.5841
H 0.2775 0.8540 0.9381



| no. | N(E_F) (states/eV/cell) | calculated volume (Å³ per atom) | electronic total energy (eV/atom) |
| --- | --- | --- | --- |
| 1 | 11.85 | 26.55 | -5.355 |
| 2 | 6.45 | 27.39 | -5.317 |
| 3 | 6.56 | 25.91 | -5.362 |
| 4 | 2.68 | 14.74 | -4.335 |
| 5 | 8.00 | 28.47 | -4.656 |
| 6 | 7.16 | 27.03 | -5.141 |
| 7 | 3.63 | 17.11 | -3.872 |
| 8 | 2.13 | 17.04 | -4.501 |
| 9 | 1.50 | 10.74 | -4.352 |
| 10 | 1.36 | 11.23 | -4.375 |
| 11 | 4.60 | 14.46 | -4.518 |
| 12 | 62.66 | 16.00 | -4.385 |